Entry 1:
The following is a DFT calculation (GGA-PBE) of Tb4PbC after structural relaxation.

extended XYZ file:
```
12
Lattice="-2.2083 4.8795 -2.9832 -3.6725 -4.7887 4.7393 2.3287 5.6432 7.5066" Properties=species:S:1:pos:R:3 pbc="T T T"
Tb -2.2369 3.7015 7.2649
Tb -1.3151 2.0325 1.9979
Tb 0.4217 5.5942 5.0173
Tb -3.9738 0.1399 4.2455
Tb -2.6459 -3.3193 3.9380
Tb -1.8383 6.7945 2.3200
Tb -1.7137 -1.0604 6.9428
Tb -0.9062 9.0534 5.3248
Pb -2.6079 6.3063 5.4218
Pb -0.9441 -0.5722 3.8409
C -0.7829 8.6894 3.0641
C -2.7692 -2.9554 6.1987
```

Results
**DOS at the Fermi energy**: 0.60 states/eV per atom
**Size of the total moment**: 0.00 Bohr magnetons per cell
**ΔE_f**: -0.127 eV per atom
**Total DFT energy (no corrections)**: -64.4 eV for the cell shown

Entry 2:
The following is a DFT calculation (GGA-PBE) of Gd2HfO5 after structural relaxation.

extended XYZ file:
```
32
Lattice="3.7975 0.0000 0.0000 0.0000 10.8022 0.0000 0.0000 0.0000 11.6980" Properties=species:S:1:pos:R:3 pbc="T T T"
Gd 2.8481 1.3254 3.2166
Gd 2.8481 1.4138 10.9891
Gd 0.9494 3.9873 5.1401
Gd 0.9494 4.0757 9.0656
Gd 2.8481 6.7265 2.6324
Gd 2.8481 6.8149 6.5579
Gd 0.9494 9.3884 0.7089
Gd 0.9494 9.4768 8.4814
Hf 2.8481 1.8085 7.1664
Hf 0.9494 3.5926 1.3174
Hf 2.8481 7.2096 10.3806
Hf 0.9494 8.9937 4.5316
O 0.9494 0.0179 10.4747
O 2.8481 10.7208 7.6284
O 2.8481 2.5029 5.2458
O 0.9494 2.5652 7.1373
O 0.9494 2.7125 3.1297
O 2.8481 2.6886 8.9787
O 2.8481 2.8359 1.2883
O 0.9494 2.8982 11.0948
O 0.9494 5.4825 1.7794
O 2.8481 5.3832 4.6257
O 0.9494 5.4190 7.0723
O 2.8481 5.3197 9.9186
O 2.8481 7.9041 0.6032
O 0.9494 7.9663 10.4097
O 0.9494 8.1136 2.7193
O 2.8481 8.0897 8.5683
O 2.8481 8.2370 4.5607
O 0.9494 8.2993 6.4522
O 0.9494 0.0814 4.0696
O 2.8481 10.7843 1.2233
```

Results
**DOS at the Fermi energy**: 0.00 states/eV per atom
**Offset from the most stable computed form**: 11 meV per atom
**Size of the total moment**: 55.99 Bohr magnetons per cell
**Formation energy without anion corrections**: -3490 meV per atom
**Total DFT energy (no corrections)**: -363.3 eV for the cell shown

Number 2 is which compound?
Gd2HfO5